Entry 1:
An optimized crystal structure of Al5ZnPd6. Source: the Alexandria database, functional PBE.

Geometry as CIF:
```
data_Al5ZnPd6
_chemical_formula_sum 'Al10 Zn2 Pd12'
_symmetry_space_group_name_H-M 'I m m m'
_symmetry_Int_Tables_number 71
_symmetry_space_group_name_Hall '-I 2 2'
_cell_length_a 4.3597
_cell_length_b 6.1035
_cell_length_c 13.0961
_cell_angle_alpha 90.00
_cell_angle_beta 90.00
_cell_angle_gamma 90.00
loop_
_atom_site_label
_atom_site_fract_x
_atom_site_fract_y
_atom_site_fract_z
Al1 0.0000 0.0000 0.0000
Al2 0.0000 0.0000 0.3359
Al3 0.0000 0.5000 0.3334
Zn1 0.0000 0.5000 0.0000
Pd1 0.0000 0.2471 0.1696
Pd2 0.0000 0.2558 0.5000
```

Entry 2:
An optimized crystal structure of Sc3C. Source: the Alexandria database, functional PBE.

Geometry as CIF:
```
data_Sc3C
_chemical_formula_sum 'Sc6 C2'
_symmetry_space_group_name_H-M 'I 4/m m m'
_symmetry_Int_Tables_number 139
_symmetry_space_group_name_Hall '-I 4 2'
_cell_length_a 3.8120
_cell_length_b 3.8120
_cell_length_c 9.3443
_cell_angle_alpha 90.00
_cell_angle_beta 90.00
_cell_angle_gamma 90.00
loop_
_atom_site_label
_atom_site_fract_x
_atom_site_fract_y
_atom_site_fract_z
Sc1 0.0000 0.0000 0.0000
Sc2 0.0000 0.5000 0.2500
C1 0.0000 0.0000 0.5000
```

Entry 3:
An optimized crystal structure of Tb2TmOs. Source: the Alexandria database, functional PBE.

Geometry as CIF:
```
data_Tb2TmOs
_chemical_formula_sum 'Tb2 Tm1 Os1'
_symmetry_space_group_name_H-M 'P 4/m m m'
_symmetry_Int_Tables_number 123
_symmetry_space_group_name_Hall '-P 4 2'
_cell_length_a 3.3938
_cell_length_b 3.3938
_cell_length_c 9.3182
_cell_angle_alpha 90.00
_cell_angle_beta 90.00
_cell_angle_gamma 90.00
loop_
_atom_site_label
_atom_site_fract_x
_atom_site_fract_y
_atom_site_fract_z
Tb1 0.0000 0.0000 0.1805
Tm1 0.5000 0.5000 0.5000
Os1 0.5000 0.5000 0.0000
```

Entry 4:
An optimized crystal structure of SmTmPb2. Source: the Alexandria database, functional PBE.

Geometry as CIF:
```
data_SmTmPb2
_chemical_formula_sum 'Sm1 Tm1 Pb2'
_symmetry_space_group_name_H-M 'P 1 m 1'
_symmetry_Int_Tables_number 6
_cell_length_a 4.5257
_cell_length_b 4.4682
_cell_length_c 6.2790
_cell_angle_alpha 90.00
_cell_angle_beta 111.07
_cell_angle_gamma 90.00
loop_
_symmetry_equiv_pos_as_xyz
'x,y,z'
'x,-y,z'
loop_
_atom_site_label
_atom_site_fract_x
_atom_site_fract_y
_atom_site_fract_z
Sm1 0.0000 0.0000 0.0000
Tm1 0.7426 0.5000 0.4817
Pb1 0.2716 0.0000 0.5390
Pb2 0.4709 0.5000 0.9423
```

Entry 5:
An optimized crystal structure of Ta2PIr. Source: the Alexandria database, functional PBE.

Geometry as CIF:
```
data_Ta2PIr
_chemical_formula_sum 'Ta8 P4 Ir4'
_symmetry_space_group_name_H-M 'F -4 3 m'
_symmetry_Int_Tables_number 216
_symmetry_space_group_name_Hall 'F -4 2 3'
_cell_length_a 6.3309
_cell_length_b 6.3309
_cell_length_c 6.3309
_cell_angle_alpha 90.00
_cell_angle_beta 90.00
_cell_angle_gamma 90.00
loop_
_atom_site_label
_atom_site_fract_x
_atom_site_fract_y
_atom_site_fract_z
Ta1 0.0000 0.0000 0.0000
Ta2 0.2500 0.2500 0.2500
P1 0.2500 0.2500 0.7500
Ir1 0.0000 0.0000 0.5000
```

Entry 6:
An optimized crystal structure of Er2PuHg. Source: the Alexandria database, functional PBE.

Geometry as CIF:
```
data_Er2PuHg
_chemical_formula_sum 'Er6 Pu3 Hg3'
_symmetry_space_group_name_H-M 'R 3 m'
_symmetry_Int_Tables_number 160
_symmetry_space_group_name_Hall 'R 3 -2"'
_cell_length_a 3.5546
_cell_length_b 3.5546
_cell_length_c 30.9721
_cell_angle_alpha 90.00
_cell_angle_beta 90.00
_cell_angle_gamma 120.00
loop_
_atom_site_label
_atom_site_fract_x
_atom_site_fract_y
_atom_site_fract_z
Er1 0.0000 0.0000 0.0000
Er2 0.0000 0.0000 0.1786
Pu1 0.0000 0.0000 0.7561
Hg1 0.0000 0.0000 0.5894
```

Per-record DOS at the Fermi energy, states/eV/cell: 9.50, 6.47, 4.48, 2.43, 11.75, 25.81
Per-record raw total energy, eV/cell: -122.14, -51.51, -25.21, -18.48, -149.94, -72.28